The following is a DFT calculation (PBE) of KTlSi after structural relaxation.

abc: 4.9000 4.9000 8.0507
angles: 90.00 90.00 120.00
Atoms (fractional coordinates):
K: 0.0000 0.0000 0.0000
K: 0.0000 0.0000 0.5000
Tl: 0.3333 0.6667 0.2866
Tl: 0.6667 0.3333 0.7866
Si: 0.3333 0.6667 0.6944
Si: 0.6667 0.3333 0.1944

Computed properties:
E (hartree per atom): -0.1015
M_tot (μB per formula unit): 0.0
Mass density (Mg/m³): 5.39
Energy relative to the elements, uncorrected (eV/f.u.): 0.60


The following is a DFT calculation (PBE) of KTlSi after structural relaxation.

abc: 8.4021 4.9461 8.0738
angles: 90.00 90.00 90.00
Atoms (fractional coordinates):
K: 0.0070 0.2500 0.1741
K: 0.4930 0.7500 0.6741
K: 0.5070 0.2500 0.3259
K: 0.9930 0.7500 0.8259
Tl: 0.1645 0.2500 0.5898
Tl: 0.3355 0.7500 0.0898
Tl: 0.6645 0.2500 0.9102
Tl: 0.8355 0.7500 0.4102
Si: 0.1748 0.7500 0.4034
Si: 0.3252 0.2500 0.9034
Si: 0.6748 0.7500 0.0966
Si: 0.8252 0.2500 0.5966

Computed properties:
E (hartree per atom): -0.1045
M_tot (μB per formula unit): 0.0
Mass density (Mg/m³): 5.38
Energy relative to the elements, uncorrected (eV/f.u.): 0.35


Q: Among the records above, which one has the highest energy relative to the elements, uncorrected?
A: number 1